(1)
# SrPaPN4 PBE relaxed
data_SrPaPN4
_cell_length_a 5.5262
_cell_length_b 5.5164
_cell_length_c 7.0504
_cell_angle_alpha 90.00
_cell_angle_beta 106.24
_cell_angle_gamma 90.00
_symmetry_space_group_name_H-M 'P 1 21/m 1'
_symmetry_Int_Tables_number 11
loop_
_symmetry_equiv_pos_as_xyz
'x,y,z'
'-x,-y,-z'
'-x,y+1/2,-z'
'x,-y+1/2,z'
loop_
_atom_site_label
_atom_site_fract_x
_atom_site_fract_y
_atom_site_fract_z
Sr1 0.2090 0.2500 0.4254
Pa1 0.2672 0.2500 0.9493
P1 0.2661 0.7500 0.1793
N1 0.0751 0.7500 0.3221
N2 0.0799 0.7500 0.9460
N3 0.4574 0.5152 0.2059
# VASP energy in eV/atom: -8.293
# Size of the total moment in μB/cell: 0.00
# Fermi-level density of states in states/eV/atom: 0.000

=====

(2)
# BaTeSe PBE relaxed
data_BaTeSe
_cell_length_a 7.6418
_cell_length_b 7.6418
_cell_length_c 7.6418
_cell_angle_alpha 90.00
_cell_angle_beta 90.00
_cell_angle_gamma 90.00
_symmetry_space_group_name_H-M 'F -4 3 m'
_symmetry_Int_Tables_number 216
_symmetry_space_group_name_Hall 'F -4 2 3'
loop_
_atom_site_label
_atom_site_fract_x
_atom_site_fract_y
_atom_site_fract_z
Ba1 0.0000 0.0000 0.0000
Te1 0.0000 0.0000 0.5000
Se1 0.2500 0.2500 0.2500
# Distance to the lowest polymorph of the same formula in meV/atom: 419
# Size of the total moment in μB/cell: 0.00
# Fermi-level density of states in states/eV/atom: 0.855

=====

What is the Fermi-level density of states in the second record? 0.855 states/eV/atom